(1)
Density functional theory data (PBE) for Na3SmEr2O6 after structural relaxation.

Output
The uncorrected formation energy comes out at -33.388 eV per formula unit. Its space group is C2/m, No. 12. Its crystal system is monoclinic.

abc: 5.955 5.955 5.926
angles: 99.62 99.62 120.02
Fractional coordinates of all 12 atoms:
Na 0.000 0.000 0.000
Na 0.330 0.670 0.000
Na 0.670 0.330 0.000
Sm 0.500 0.500 0.500
Er 0.167 0.833 0.500
Er 0.833 0.167 0.500
O 0.087 0.430 0.289
O 0.228 0.228 0.712
O 0.430 0.087 0.289
O 0.570 0.913 0.711
O 0.772 0.772 0.288
O 0.913 0.570 0.711

***

(2)
Density functional theory data (PBE) for NaEr2SnO5 after structural relaxation.

Output
The uncorrected formation energy comes out at -21.853 eV per formula unit. Its space group is Immm, No. 71. Its crystal system is orthorhombic.

abc: 6.842 6.842 6.842
angles: 145.58 130.03 62.08
Fractional coordinates of all 9 atoms:
Na 0.000 0.000 0.000
Er 0.285 0.785 0.500
Er 0.715 0.215 0.500
Sn 0.500 0.500 0.000
O 0.111 0.341 0.770
O 0.429 0.659 0.770
O 0.500 0.000 0.500
O 0.571 0.341 0.230
O 0.889 0.659 0.230